The following is a DFT calculation (GGA-PBE) of a relaxed RbInGaHg2 crystal.

Cell and atoms, written as POSCAR:
```
RbInGaHg2
1.0
5.7656 0.0000 0.0000
0.0000 5.7656 0.0000
0.0000 0.0000 5.4900
Rb In Ga Hg
1 1 1 2
direct
0.0000 0.0000 0.0000
0.5000 0.5000 0.5000
0.5000 0.5000 0.0000
0.0000 0.5000 0.5000
0.5000 0.0000 0.5000
```

Values from the calculation:
E_form ... 0.05 eV per atom
Total moment ... 0.0000 μB/atom
Total energy ... -1.413 eV per atom
Distance to the lowest polymorph of the same formula ... 72 meV per atom

The following is a DFT calculation (GGA-PBE) of a relaxed Rb2In4Ga3Hg crystal.

Cell and atoms, written as POSCAR:
```
Rb2In4Ga3Hg
1.0
4.9564 0.0000 0.0000
0.0000 4.9564 0.0000
0.0000 0.0000 11.8785
Rb In Ga Hg
2 4 3 1
direct
0.0000 0.5000 0.2493
0.5000 0.0000 0.7507
0.0000 0.0000 0.5000
0.0000 0.5000 0.8664
0.5000 0.0000 0.1336
0.5000 0.5000 0.5000
0.0000 0.0000 0.0000
0.0000 0.5000 0.6289
0.5000 0.0000 0.3711
0.5000 0.5000 0.0000
```

Values from the calculation:
E_form ... -0.10 eV per atom
Total moment ... 0.0000 μB/atom
Total energy ... -2.327 eV per atom

The following is a DFT calculation (GGA-PBE) of a relaxed InGaReHg2 crystal.

Cell and atoms, written as POSCAR:
```
InGaReHg2
1.0
5.1210 0.0000 0.0000
0.0000 5.1210 0.0000
0.0000 0.0000 4.9763
In Ga Re Hg
1 1 1 2
direct
0.0000 0.0000 0.0000
0.5000 0.5000 0.5000
0.5000 0.5000 0.0000
0.0000 0.5000 0.5000
0.5000 0.0000 0.5000
```

Values from the calculation:
E_form ... 1.03 eV per atom
Total moment ... 0.6006 μB/atom
Total energy ... -2.735 eV per atom

The following is a DFT calculation (GGA-PBE) of a relaxed InGaHg2Rh crystal.

Cell and atoms, written as POSCAR:
```
InGaHg2Rh
1.0
5.1702 0.0000 0.0000
0.0000 5.1702 0.0000
0.0000 0.0000 4.7284
In Ga Hg Rh
1 1 2 1
direct
0.0000 0.0000 0.0000
0.5000 0.5000 0.5000
0.0000 0.5000 0.5000
0.5000 0.0000 0.5000
0.5000 0.5000 0.0000
```

Values from the calculation:
E_form ... 0.40 eV per atom
Total moment ... 0.0000 μB/atom
Total energy ... -2.348 eV per atom

The following is a DFT calculation (GGA-PBE) of a relaxed InGa2HgRu crystal.

Cell and atoms, written as POSCAR:
```
InGa2HgRu
1.0
4.8396 0.0000 0.0000
0.0000 4.8396 0.0000
0.0000 0.0000 5.2320
In Ga Hg Ru
1 2 1 1
direct
0.0000 0.0000 0.0000
0.0000 0.5000 0.5000
0.5000 0.0000 0.5000
0.5000 0.5000 0.0000
0.0000 0.0000 0.5000
```

Values from the calculation:
E_form ... -0.05 eV per atom
Total moment ... 0.0000 μB/atom
Total energy ... -3.729 eV per atom

The following is a DFT calculation (GGA-PBE) of a relaxed In2GaHgRu crystal.

Cell and atoms, written as POSCAR:
```
In2GaHgRu
1.0
5.2040 0.0000 0.0000
0.0000 5.2040 0.0000
0.0000 0.0000 4.8147
In Ga Hg Ru
2 1 1 1
direct
0.0000 0.5000 0.0000
0.5000 0.0000 0.0000
0.0000 0.0000 0.5000
0.5000 0.5000 0.5000
0.0000 0.0000 0.0000
```

Values from the calculation:
E_form ... -0.02 eV per atom
Total moment ... 0.0000 μB/atom
Total energy ... -3.633 eV per atom
Distance to the lowest polymorph of the same formula ... 0 meV per atom

The following is a DFT calculation (GGA-PBE) of a relaxed InGaHgRu2 crystal.

Cell and atoms, written as POSCAR:
```
InGaHgRu2
1.0
5.0470 0.0000 0.0000
0.0000 5.0470 0.0000
0.0000 0.0000 4.6818
In Ga Hg Ru
1 1 1 2
direct
0.0000 0.0000 0.0000
0.5000 0.5000 0.0000
0.5000 0.5000 0.5000
0.0000 0.5000 0.5000
0.5000 0.0000 0.5000
```

Values from the calculation:
E_form ... 1.56 eV per atom
Total moment ... 0.4245 μB/atom
Total energy ... -3.361 eV per atom

The following is a DFT calculation (GGA-PBE) of a relaxed In2GaHgRu crystal.

Cell and atoms, written as POSCAR:
```
In2GaHgRu
1.0
5.1343 0.0000 0.0000
0.0000 5.1343 0.0000
0.0000 0.0000 5.3217
In Ga Hg Ru
2 1 1 1
direct
0.0000 0.5000 0.0000
0.5000 0.0000 0.0000
0.0000 0.0000 0.5000
0.5000 0.5000 0.5000
0.5000 0.5000 0.0000
```

Values from the calculation:
E_form ... 0.28 eV per atom
Total moment ... 0.0000 μB/atom
Total energy ... -3.331 eV per atom
Distance to the lowest polymorph of the same formula ... 302 meV per atom

The following is a DFT calculation (GGA-PBE) of a relaxed InGaHgSb crystal.

Cell and atoms, written as POSCAR:
```
InGaHgSb
1.0
0.0000 3.7149 3.7149
3.7149 0.0000 3.7149
3.7149 3.7149 0.0000
In Ga Hg Sb
1 1 1 1
direct
0.0000 0.0000 0.0000
0.5000 0.5000 0.5000
0.7500 0.7500 0.7500
0.2500 0.2500 0.2500
```

Values from the calculation:
Total moment ... 0.0001 μB/atom
Total energy ... -2.501 eV per atom
Formation energy from raw total energies ... 0.047 eV/atom

The following is a DFT calculation (GGA-PBE) of a relaxed Sc5In2Ga2Hg crystal.

Cell and atoms, written as POSCAR:
```
Sc5In2Ga2Hg
1.0
11.6462 0.0000 0.0000
0.0000 11.6462 0.0000
0.0000 0.0000 3.3227
Sc In Ga Hg
10 4 4 2
direct
0.0000 0.5000 0.0000
0.0418 0.2051 0.0000
0.2051 0.9582 0.0000
0.2949 0.4582 0.0000
0.4582 0.7051 0.0000
0.5000 0.0000 0.0000
0.5418 0.2949 0.0000
0.7051 0.5418 0.0000
0.7949 0.0418 0.0000
0.9582 0.7949 0.0000
0.1904 0.6904 0.5000
0.3096 0.1904 0.5000
0.6904 0.8096 0.5000
0.8096 0.3096 0.5000
0.1342 0.3658 0.5000
0.3658 0.8658 0.5000
0.6342 0.1342 0.5000
0.8658 0.6342 0.5000
0.0000 0.0000 0.5000
0.5000 0.5000 0.5000
```

Values from the calculation:
E_form ... -0.33 eV per atom
Total moment ... 0.0000 μB/atom
Total energy ... -4.676 eV per atom

The following is a DFT calculation (GGA-PBE) of a relaxed InGaHgSe crystal.

Cell and atoms, written as POSCAR:
```
InGaHgSe
1.0
0.0000 3.7258 3.7258
3.7258 0.0000 3.7258
3.7258 3.7258 0.0000
In Ga Hg Se
1 1 1 1
direct
0.0000 0.0000 0.0000
0.5000 0.5000 0.5000
0.7500 0.7500 0.7500
0.2500 0.2500 0.2500
```

Values from the calculation:
Total moment ... 0.0000 μB/atom
Total energy ... -2.443 eV per atom
Formation energy from raw total energies ... -0.055 eV/atom

The following is a DFT calculation (GGA-PBE) of a relaxed Sm4InGaHg2 crystal.

Cell and atoms, written as POSCAR:
```
Sm4InGaHg2
1.0
2.6751 1.5444 8.7093
-2.6751 1.5444 8.7093
0.0000 -3.0889 8.7093
Sm In Ga Hg
4 1 1 2
direct
0.1199 0.1199 0.1199
0.3703 0.3703 0.3703
0.6297 0.6297 0.6297
0.8801 0.8801 0.8801
0.5000 0.5000 0.5000
0.0000 0.0000 0.0000
0.2452 0.2452 0.2452
0.7548 0.7548 0.7548
```

Values from the calculation:
E_form ... -0.49 eV per atom
Total moment ... 0.0989 μB/atom
Total energy ... -3.648 eV per atom

The following is a DFT calculation (GGA-PBE) of a relaxed In5GaSnHg2 crystal.

Cell and atoms, written as POSCAR:
```
In5GaSnHg2
1.0
2.1715 -9.3072 0.0000
2.1715 9.3072 0.0000
0.0000 0.0000 11.9843
In Ga Sn Hg
10 2 2 4
direct
0.0303 0.9697 0.5000
0.1904 0.8096 0.3117
0.1924 0.8076 0.9198
0.2510 0.7490 0.6229
0.4292 0.5708 0.7566
0.5708 0.4292 0.2566
0.7490 0.2510 0.1229
0.8076 0.1924 0.4198
0.8096 0.1904 0.8117
0.9697 0.0303 0.0000
0.3479 0.6521 0.2454
0.6521 0.3479 0.7454
0.0488 0.9512 0.7611
0.9512 0.0488 0.2611
0.3534 0.6466 0.0056
0.4139 0.5861 0.5051
0.5861 0.4139 0.0051
0.6466 0.3534 0.5056
```

Values from the calculation:
E_form ... 0.03 eV per atom
Total moment ... 0.0000 μB/atom
Total energy ... -2.335 eV per atom

The following is a DFT calculation (GGA-PBE) of a relaxed InGaSnHg crystal.

Cell and atoms, written as POSCAR:
```
InGaSnHg
1.0
3.3579 0.0000 0.0000
0.0000 3.3579 0.0000
0.0000 0.0000 8.7683
In Ga Sn Hg
1 1 1 1
direct
0.0000 0.0000 0.0000
0.5000 0.5000 0.2352
0.0000 0.0000 0.4670
0.5000 0.5000 0.7393
```

Values from the calculation:
E_form ... 0.04 eV per atom
Total moment ... 0.0000 μB/atom
Total energy ... -2.480 eV per atom
Distance to the lowest polymorph of the same formula ... 0 meV per atom

The following is a DFT calculation (GGA-PBE) of a relaxed InGaSnHg3 crystal.

Cell and atoms, written as POSCAR:
```
InGaSnHg3
1.0
8.1695 0.0000 0.0000
0.0000 4.2670 0.0000
-3.0229 0.0000 8.9805
In Ga Sn Hg
2 2 2 6
direct
0.1162 0.2500 0.2456
0.8838 0.7500 0.7544
0.3520 0.7500 0.7874
0.6480 0.2500 0.2126
0.1252 0.2500 0.5936
0.8748 0.7500 0.4064
0.1485 0.2500 0.9350
0.3584 0.7500 0.4670
0.3964 0.7500 0.1365
0.6036 0.2500 0.8635
0.6416 0.2500 0.5330
0.8515 0.7500 0.0650
```

Values from the calculation:
E_form ... 0.05 eV per atom
Total moment ... 0.0000 μB/atom
Total energy ... -1.725 eV per atom

The following is a DFT calculation (GGA-PBE) of a relaxed In3GaSnHg crystal.

Cell and atoms, written as POSCAR:
```
In3GaSnHg
1.0
2.2218 -6.7032 0.0000
2.2218 6.7032 0.0000
0.0000 0.0000 10.3644
In Ga Sn Hg
6 2 2 2
direct
0.1616 0.8384 0.7500
0.3348 0.6652 0.5028
0.3348 0.6652 0.9972
0.6652 0.3348 0.0028
0.6652 0.3348 0.4972
0.8384 0.1616 0.2500
0.4960 0.5040 0.7500
0.5040 0.4960 0.2500
0.0000 0.0000 0.0000
0.0000 0.0000 0.5000
0.1621 0.8379 0.2500
0.8379 0.1621 0.7500
```

Values from the calculation:
E_form ... 0.04 eV per atom
Total moment ... 0.0000 μB/atom
Total energy ... -2.549 eV per atom

The following is a DFT calculation (GGA-PBE) of a relaxed InGaSnHg crystal.

Cell and atoms, written as POSCAR:
```
InGaSnHg
1.0
0.0000 3.6855 3.6855
3.6855 0.0000 3.6855
3.6855 3.6855 0.0000
In Ga Sn Hg
1 1 1 1
direct
0.0000 0.0000 0.0000
0.2500 0.2500 0.2500
0.5000 0.5000 0.5000
0.7500 0.7500 0.7500
```

Values from the calculation:
E_form ... 0.05 eV per atom
Total moment ... 0.0000 μB/atom
Total energy ... -2.471 eV per atom
Distance to the lowest polymorph of the same formula ... 9 meV per atom

The following is a DFT calculation (GGA-PBE) of a relaxed In4GaSnHg2 crystal.

Cell and atoms, written as POSCAR:
```
In4GaSnHg2
1.0
6.3874 0.0000 0.0000
0.0000 4.7282 0.0000
-2.6288 0.0000 7.1704
In Ga Sn Hg
4 1 1 2
direct
0.0000 0.0000 0.2397
0.0000 0.0000 0.7603
0.4717 0.5000 0.2368
0.5283 0.5000 0.7632
0.0000 0.5000 0.0000
0.5000 0.0000 0.5000
0.0000 0.5000 0.5000
0.5000 0.0000 0.0000
```

Values from the calculation:
E_form ... 0.05 eV per atom
Total moment ... 0.0000 μB/atom
Total energy ... -2.271 eV per atom

The following is a DFT calculation (GGA-PBE) of a relaxed In3Ga3Sn2Hg crystal.

Cell and atoms, written as POSCAR:
```
In3Ga3Sn2Hg
1.0
8.8370 0.0000 0.0000
-4.4185 7.6530 0.0000
0.0000 0.0000 3.2813
In Ga Sn Hg
3 3 2 1
direct
0.0000 0.7023 0.0000
0.2977 0.2977 0.0000
0.7023 0.0000 0.0000
0.0000 0.3675 0.5000
0.3675 0.0000 0.5000
0.6325 0.6325 0.5000
0.3333 0.6667 0.0000
0.6667 0.3333 0.0000
0.0000 0.0000 0.5000
```

Values from the calculation:
E_form ... 0.06 eV per atom
Total moment ... 0.0000 μB/atom
Total energy ... -2.784 eV per atom

The following is a DFT calculation (GGA-PBE) of a relaxed InGa2SnHg crystal.

Cell and atoms, written as POSCAR:
```
InGa2SnHg
1.0
3.1049 -6.2737 0.0000
3.1049 6.2737 0.0000
0.0000 0.0000 6.5514
In Ga Sn Hg
2 4 2 2
direct
0.2346 0.7654 0.7500
0.7654 0.2346 0.2500
0.2701 0.2701 0.0000
0.2701 0.2701 0.5000
0.7299 0.7299 0.0000
0.7299 0.7299 0.5000
0.1278 0.8722 0.2500
0.8722 0.1278 0.7500
0.3546 0.6454 0.2500
0.6454 0.3546 0.7500
```

Values from the calculation:
E_form ... 0.08 eV per atom
Total moment ... 0.0000 μB/atom
Total energy ... -2.540 eV per atom

The following is a DFT calculation (GGA-PBE) of a relaxed InGaSnHg4 crystal.

Cell and atoms, written as POSCAR:
```
InGaSnHg4
1.0
6.8611 -3.2015 0.0000
6.8611 3.2015 0.0000
-2.3425 0.0000 8.3616
In Ga Sn Hg
2 2 2 8
direct
0.1205 0.1205 0.0873
0.8795 0.8795 0.9127
0.2449 0.2449 0.4972
0.7551 0.7551 0.5028
0.3581 0.3581 0.2530
0.6419 0.6419 0.7470
0.1530 0.1530 0.7567
0.1902 0.6877 0.6350
0.3123 0.8098 0.3650
0.3824 0.3824 0.9212
0.6176 0.6176 0.0788
0.6877 0.1902 0.6350
0.8098 0.3123 0.3650
0.8470 0.8470 0.2433
```

Values from the calculation:
E_form ... 0.06 eV per atom
Total moment ... 0.0000 μB/atom
Total energy ... -1.510 eV per atom

The following is a DFT calculation (GGA-PBE) of a relaxed In2Ga2Sn2Hg crystal.

Cell and atoms, written as POSCAR:
```
In2Ga2Sn2Hg
1.0
8.4117 -1.6732 0.0000
8.4117 1.6732 0.0000
-1.7656 0.0000 6.3785
In Ga Sn Hg
2 2 2 1
direct
0.0823 0.0823 0.4266
0.9177 0.9177 0.5734
0.2806 0.2806 0.6764
0.7194 0.7194 0.3236
0.1592 0.1592 0.9261
0.8408 0.8408 0.0739
0.5000 0.5000 0.0000
```

Values from the calculation:
E_form ... 0.05 eV per atom
Total moment ... 0.0000 μB/atom
Total energy ... -2.784 eV per atom

The following is a DFT calculation (GGA-PBE) of a relaxed Sr2In3Ga4Hg crystal.

Cell and atoms, written as POSCAR:
```
Sr2In3Ga4Hg
1.0
4.7314 0.0000 0.0000
0.0000 4.7314 0.0000
0.0000 0.0000 11.4798
Sr In Ga Hg
2 3 4 1
direct
0.0000 0.5000 0.2490
0.5000 0.0000 0.7510
0.0000 0.0000 0.0000
0.0000 0.5000 0.6328
0.5000 0.0000 0.3672
0.0000 0.0000 0.5000
0.0000 0.5000 0.8662
0.5000 0.0000 0.1338
0.5000 0.5000 0.5000
0.5000 0.5000 0.0000
```

Values from the calculation:
E_form ... -0.32 eV per atom
Total moment ... 0.0000 μB/atom
Total energy ... -2.719 eV per atom

The following is a DFT calculation (GGA-PBE) of a relaxed Sr2InGaHg6 crystal.

Cell and atoms, written as POSCAR:
```
Sr2InGaHg6
1.0
6.5103 0.0000 0.0000
2.4314 6.4614 0.0000
1.1580 0.4816 7.0139
Sr In Ga Hg
2 1 1 6
direct
0.2203 0.2868 0.2574
0.7797 0.7132 0.7426
0.0000 0.0000 0.0000
0.5000 0.5000 0.5000
0.1355 0.8094 0.3801
0.3040 0.5983 0.8767
0.3406 0.1666 0.7412
0.6594 0.8334 0.2588
0.6960 0.4017 0.1233
0.8645 0.1906 0.6199
```

Values from the calculation:
E_form ... -0.23 eV per atom
Total moment ... 0.0000 μB/atom
Total energy ... -1.326 eV per atom